[1]
PBE TbHo2Cu2, relaxed; space-group type = No. 11; formation energy from the elements = -16.6 kJ/mol of atoms; offset from the most stable computed form = 0.000 eV per atom; total energy = -45.676 eV/cell; volume = 22.85 Å³/atom; magnetic moment = 0.00 μB per formula unit
1.0
3.4984 0.0000 0.0000
0.0000 5.0576 0.0000
-1.7470 0.0000 12.9166
Tb Ho Cu
2 4 4
Direct
0.1418 0.2500 0.2826
0.8582 0.7500 0.7174
0.0470 0.7500 0.0936
0.2306 0.7500 0.4604
0.7694 0.2500 0.5396
0.9530 0.2500 0.9064
0.3587 0.2500 0.7190
0.4549 0.7500 0.9106
0.5451 0.2500 0.0894
0.6413 0.7500 0.2810

[2]
PBE Ac2DyHo2, relaxed; space-group type = No. 70; formation energy from the elements = 60.7 kJ/mol of atoms; total energy = -37.660 eV/cell; volume = 40.12 Å³/atom; magnetic moment = 0.00 μB per formula unit
1.0
0.0000 6.5884 6.6087
4.6074 0.0000 6.6087
4.6074 6.5884 0.0000
Ac Dy Ho
4 2 4
Direct
0.1216 0.6284 0.1216
0.3716 0.8784 0.3716
0.6284 0.1216 0.6284
0.8784 0.3716 0.8784
0.3750 0.3750 0.3750
0.6250 0.6250 0.6250
0.0403 0.7097 0.7097
0.2903 0.9597 0.9597
0.7097 0.0403 0.0403
0.9597 0.2903 0.2903

> The lowest volume belongs to which entry?

TbHo2Cu2

> Which value of total energy does entry 2 give?

-37.660 eV/cell

> What is the total energy in the second record?

-37.660 eV/cell

> Number 2 is which compound?

Ac2DyHo2